No. 1
The following is a PBE calculation of a relaxed structure of Al2OsRu, from Alexandria.

abc: 5.855 5.855 5.855
angles: 54.04 153.48 133.82
Sites, in units of the cell vectors:
Ru1 0.000 0.000 0.000
Al1 0.000 0.249 0.249
Al2 0.000 0.751 0.751
Os1 0.000 0.500 0.500

## Properties
* energy relative to the elements: 0.58 eV/atom
* DOS at the Fermi energy: 5.694 states/eV per cell
* total moment: 0.00 μB per cell
* V: 16.08 Å³/atom


No. 2
The following is a PBE calculation of a relaxed structure of Y2BeAl3Cu12, from Alexandria.

abc: 11.293 11.293 11.293
angles: 27.89 27.89 27.89
Sites, in units of the cell vectors:
Al1 0.500 0.000 0.000
Be1 0.000 0.000 0.000
Cu1 0.894 0.374 0.894
Cu2 0.626 0.106 0.106
Cu3 0.106 0.626 0.106
Al2 0.000 0.500 0.000
Cu4 0.862 0.405 0.405
Al3 0.000 0.000 0.500
Y1 0.644 0.644 0.644
Cu5 0.405 0.862 0.405
Cu6 0.138 0.595 0.595
Cu7 0.595 0.595 0.138
Cu8 0.595 0.138 0.595
Y2 0.356 0.356 0.356
Cu9 0.106 0.106 0.626
Cu10 0.894 0.894 0.374
Cu11 0.374 0.894 0.894
Cu12 0.405 0.405 0.862

## Properties
* energy relative to the elements: 0.06 eV/atom
* DOS at the Fermi energy: 7.470 states/eV per cell
* total moment: 0.00 μB per cell
* V: 15.46 Å³/atom


No. 3
The following is a PBE calculation of a relaxed structure of Dy3Mg2Au3, from Alexandria.

abc: 5.805 8.582 8.582
angles: 120.00 90.00 90.00
Sites, in units of the cell vectors:
Mg1 0.000 0.333 0.667
Mg2 0.000 0.667 0.333
Au1 0.750 0.000 0.609
Dy1 0.750 0.262 0.000
Au2 0.750 0.609 0.000
Dy2 0.750 0.738 0.738
Dy3 0.250 0.000 0.738
Au3 0.250 0.391 0.000
Dy4 0.750 0.000 0.262
Dy5 0.250 0.262 0.262
Au4 0.750 0.391 0.391
Mg3 0.500 0.667 0.333
Au5 0.250 0.000 0.391
Dy6 0.250 0.738 0.000
Au6 0.250 0.609 0.609
Mg4 0.500 0.333 0.667

## Properties
* energy relative to the elements: -0.71 eV/atom
* DOS at the Fermi energy: 13.969 states/eV per cell
* total moment: 0.00 μB per cell
* ΔE to the lowest computed polymorph: 0.0 kJ per mole of atoms
* V: 23.14 Å³/atom


No. 4
The following is a PBE calculation of a relaxed structure of Tb2Sc3Ge4, from Alexandria.

abc: 7.258 7.520 7.499
angles: 90.00 90.00 110.00
Sites, in units of the cell vectors:
Sc1 0.000 0.500 0.500
Sc2 0.744 0.248 0.831
Ge1 0.847 0.084 0.541
Ge2 0.135 0.507 0.868
Tb1 0.935 0.807 0.823
Ge3 0.653 0.916 0.041
Sc3 0.244 0.248 0.669
Tb2 0.565 0.193 0.323
Ge4 0.365 0.493 0.368
Sc4 0.256 0.752 0.169
Sc5 0.756 0.752 0.331
Ge5 0.865 0.493 0.132
Ge6 0.153 0.916 0.459
Tb3 0.435 0.807 0.677
Ge7 0.635 0.507 0.632
Ge8 0.347 0.084 0.959
Tb4 0.065 0.193 0.177
Sc6 0.500 0.500 0.000

## Properties
* energy relative to the elements: -0.91 eV/atom
* DOS at the Fermi energy: 12.283 states/eV per cell
* total moment: 0.00 μB per cell
* V: 21.37 Å³/atom


No. 5
The following is a PBE calculation of a relaxed structure of Er2ZrTe, from Alexandria.

abc: 3.732 3.732 9.647
angles: 78.85 78.85 60.00
Sites, in units of the cell vectors:
Er1 0.077 0.077 0.768
Er2 0.256 0.256 0.231
Zr1 0.499 0.499 0.502
Te1 0.667 0.667 0.000

## Properties
* DOS at the Fermi energy: 3.361 states/eV per cell
* uncorrected formation energy: -409 meV per atom
* total moment: 0.00 μB per cell
* ΔE to the lowest computed polymorph: 6.7 kJ per mole of atoms
* V: 28.35 Å³/atom


No. 6
The following is a PBE calculation of a relaxed structure of CaCd2Hg, from Alexandria.

abc: 5.896 5.896 4.556
angles: 67.17 67.17 45.45
Sites, in units of the cell vectors:
Hg1 0.250 0.250 0.250
Cd1 0.000 0.000 0.000
Cd2 0.500 0.500 0.500
Ca1 0.750 0.750 0.750

## Properties
* energy relative to the elements: -0.27 eV/atom
* DOS at the Fermi energy: 1.798 states/eV per cell
* total moment: 0.00 μB per cell
* V: 25.61 Å³/atom


No. 7
The following is a PBE calculation of a relaxed structure of HoZrUO6, from Alexandria.

abc: 5.660 5.660 9.148
angles: 90.00 90.00 120.00
Site moments in Bohr magnetons follow the coordinates.
Sites, in units of the cell vectors:
Zr1 0.000 0.000 0.500  0.00
O1 0.985 0.669 0.372  -0.02
O2 0.015 0.684 0.872  -0.02
O3 0.684 0.015 0.372  -0.02
O4 0.331 0.316 0.372  -0.02
U1 0.667 0.333 0.250  1.06
O5 0.015 0.331 0.628  -0.02
O6 0.669 0.985 0.872  -0.02
Zr2 0.000 0.000 0.000  0.00
O7 0.684 0.669 0.128  -0.02
O8 0.331 0.015 0.128  -0.02
U2 0.333 0.667 0.750  1.06
Ho1 0.667 0.333 0.750  0.01
O9 0.316 0.985 0.628  -0.02
Ho2 0.333 0.667 0.250  0.01
O10 0.985 0.316 0.128  -0.02
O11 0.316 0.331 0.872  -0.02
O12 0.669 0.684 0.628  -0.02

## Properties
* uncorrected formation energy: -3244 meV per atom
* total moment: 2.00 μB per cell
* V: 14.10 Å³/atom


No. 8
The following is a PBE calculation of a relaxed structure of Rb2SrPaSe4, from Alexandria.

abc: 4.415 7.711 8.376
angles: 107.59 90.00 90.00
Site moments in Bohr magnetons follow the coordinates.
Sites, in units of the cell vectors:
Se1 0.500 0.787 0.803  -0.02
Pa1 0.000 0.000 0.000  1.03
Se2 0.000 0.240 0.799  -0.02
Rb1 0.000 0.500 0.500  0.00
Rb2 0.500 0.000 0.500  0.00
Sr1 0.500 0.500 0.000  0.00
Se3 0.500 0.213 0.197  -0.02
Se4 0.000 0.760 0.201  -0.02

## Properties
* DOS at the Fermi energy: 5.093 states/eV per cell
* uncorrected formation energy: -1544 meV per atom
* total moment: 1.00 μB per cell
* V: 33.98 Å³/atom


No. 9
The following is a PBE calculation of a relaxed structure of CsIn3As, from Alexandria.

abc: 5.827 5.827 5.827
angles: 90.00 90.00 90.00
Sites, in units of the cell vectors:
In1 0.000 0.000 0.500
In2 0.000 0.500 0.000
In3 0.500 0.000 0.000
As1 0.000 0.000 0.000
Cs1 0.500 0.500 0.500

## Properties
* energy relative to the elements: 0.19 eV/atom
* DOS at the Fermi energy: 3.303 states/eV per cell
* total moment: 0.00 μB per cell
* ΔE to the lowest computed polymorph: 0.0 kJ per mole of atoms
* V: 39.56 Å³/atom


No. 10
The following is a PBE calculation of a relaxed structure of TaSbCI2, from Alexandria.

abc: 5.465 5.465 5.472
angles: 90.00 90.00 90.00
Site moments in Bohr magnetons follow the coordinates.
Sites, in units of the cell vectors:
I1 0.000 0.500 0.000  -0.03
I2 0.500 0.000 0.000  -0.03
Sb1 0.000 0.000 0.500  -0.17
Ta1 0.000 0.000 0.000  0.16
C1 0.500 0.500 0.500  1.00

## Properties
* DOS at the Fermi energy: 6.236 states/eV per cell
* uncorrected formation energy: 1669 meV per atom
* total moment: 1.92 μB per cell
* ΔE to the lowest computed polymorph: 4.4 kJ per mole of atoms
* V: 32.69 Å³/atom


No. 11
The following is a PBE calculation of a relaxed structure of RbSn2Pt3, from Alexandria.

abc: 4.117 8.747 11.177
angles: 126.70 100.61 90.00
Sites, in units of the cell vectors:
Pt1 0.689 0.900 0.378
Pt2 0.922 0.354 0.845
Pt3 0.078 0.646 0.155
Pt4 0.627 0.512 0.253
Sn1 0.781 0.277 0.563
Sn2 0.474 0.273 0.949
Rb1 0.878 0.820 0.755
Pt5 0.311 0.100 0.622
Pt6 0.373 0.488 0.747
Sn3 0.526 0.727 0.051
Rb2 0.122 0.180 0.245
Sn4 0.219 0.723 0.437

## Properties
* energy relative to the elements: -0.32 eV/atom
* DOS at the Fermi energy: 5.041 states/eV per cell
* total moment: 0.00 μB per cell
* V: 26.17 Å³/atom


No. 12
The following is a PBE calculation of a relaxed structure of PuMnH8Ir2, from Alexandria.

abc: 4.657 4.657 5.985
angles: 67.11 67.11 60.00
Site moments in Bohr magnetons follow the coordinates.
Sites, in units of the cell vectors:
H1 0.184 0.184 0.449  0.01
Ir1 0.287 0.287 0.140  -0.20
H2 0.054 0.626 0.266  0.02
H3 0.946 0.946 0.734  0.02
Mn1 0.000 0.000 0.000  -3.31
H4 0.374 0.946 0.734  0.02
Pu1 0.500 0.500 0.500  -5.29
H5 0.626 0.054 0.266  0.02
Ir2 0.713 0.713 0.860  -0.20
H6 0.946 0.374 0.734  0.02
H7 0.816 0.816 0.551  0.01
H8 0.054 0.054 0.266  0.02

## Properties
* energy: -5.755 eV per atom
* DOS at the Fermi energy: 14.667 states/eV per cell
* total moment: 9.15 μB per cell
* V: 8.37 Å³/atom


Q: Look up the total moment of the third one.
A: 0.00 μB per cell


Q: Among the records above, which one has the lowest V?
A: PuMnH8Ir2